(1)
This record from Alexandria describes a relaxed structure of TaTi2MoH. The functional is PBE.

Values from the calculation:
E: -8.398 eV/atom
Relative energy among the computed polymorphs: 13.0 meV/atom
DOS(E_F): 1.16 states/eV per atom
Space-group type: P4/mmm
Crystal system: tetragonal
Size of the total moment: 0.54 μB/cell

Cell: 3.8760 3.8760 4.6320 Å, 90.00 90.00 90.00°
Last column: nearest neighbours and their distance in Å.
Fractional coordinates of all 5 atoms:
Ta 0.0000 0.0000 0.0000  4 Mo 2.74, 8 Ti 3.02
Ti 0.0000 0.5000 0.5000  2 H 1.94
Ti 0.5000 0.0000 0.5000  2 H 1.94
Mo 0.5000 0.5000 0.0000  2 H 2.32
H 0.5000 0.5000 0.5000  4 Ti 1.94

---

(2)
This record from Alexandria describes a relaxed structure of Ba3Sn2Au9. The functional is PBE.

Values from the calculation:
E: -3.609 eV/atom
DOS(E_F): 0.20 states/eV per atom
Space-group type: Immm
E_form: -0.52 eV/atom
Crystal system: orthorhombic
Size of the total moment: 0.00 μB/cell

Cell: 9.1954 9.1954 9.1954 Å, 149.35 114.11 74.41°
Last column: nearest neighbours and their distance in Å.
Fractional coordinates of all 14 atoms:
Ba 0.0000 0.0000 0.0000  12 Au 3.49-3.60
Ba 0.2859 0.2859 0.0000  12 Au 3.41-3.70, 2 Sn 3.61
Ba 0.7141 0.7141 0.0000  12 Au 3.41-3.70, 2 Sn 3.61
Sn 0.3208 0.5000 0.8208  8 Au 2.89-3.16
Sn 0.6792 0.5000 0.1792  8 Au 2.89-3.16
Au 0.0135 0.6538 0.3597  3 Au 2.81-2.85, 1 Sn 2.89
Au 0.1512 0.8641 0.2871  4 Au 2.85-3.16, 2 Sn 3.16
Au 0.2941 0.6538 0.6403  3 Au 2.81-2.85, 1 Sn 2.89
Au 0.4230 0.1359 0.2871  4 Au 2.85-3.16, 2 Sn 3.16
Au 0.5000 0.0000 0.5000  4 Au 2.92, 4 Sn 3.02
Au 0.5770 0.8641 0.7129  4 Au 2.85-3.16, 2 Sn 3.16
Au 0.7059 0.3462 0.3597  3 Au 2.81-2.85, 1 Sn 2.89
Au 0.8488 0.1359 0.7129  4 Au 2.85-3.16, 2 Sn 3.16
Au 0.9865 0.3462 0.6403  3 Au 2.81-2.85, 1 Sn 2.89